Below is crystalline Cs3Ni2AgF9 at its relaxed geometry, with properties calculated at the PBE+U level.

Unit cell a=6.1127 b=6.1127 c=7.5109 alpha=90.00 beta=90.00 gamma=120.00
Closest atoms and distances in Å follow each position.
Fractional positions:
Cs1 0.3333 0.6667 0.6644  12 F 3.06-3.08
Cs2 0.0000 0.0000 0.0000  12 F 3.04-3.06
Cs3 0.6667 0.3333 0.3356  12 F 3.06-3.08
Ni1 0.3333 0.6667 0.1563  6 F 2.04-2.12
Ni2 0.6667 0.3333 0.8437  6 F 2.04-2.12
Ag1 0.0000 0.0000 0.5000  6 F 2.33
F1 0.8220 0.1780 0.6828  1 Ni 2.04
F2 0.8220 0.6439 0.6828  1 Ni 2.04
F3 0.3561 0.1780 0.6828  1 Ni 2.04
F4 0.6439 0.8220 0.3172  1 Ni 2.04
F5 0.1780 0.3561 0.3172  1 Ni 2.04
F6 0.1780 0.8220 0.3172  1 Ni 2.04
F7 0.5000 0.0000 0.0000  2 Ni 2.12
F8 0.0000 0.5000 0.0000  2 Ni 2.12
F9 0.5000 0.5000 0.0000  2 Ni 2.12

## Properties
Magnetization in μB per formula unit: 3.000
Crystal system: trigonal
Calculated total energy in eV/atom: -4.025
Space group: P-3m1, No. 164